! SiH2Pd6 PBE relaxed; values from VASP
! N(E_F) (states/eV/f.u.): 3.45
! Relative energy among the computed polymorphs (meV/atom): 0
! SG: No. 12
&SYSTEM
  ibrav = 0, nat = 9, ntyp = 3
/
ATOMIC_SPECIES
H 1.01 H.upf
Pd 106.42 Pd.upf
Si 28.09 Si.upf
CELL_PARAMETERS angstrom
3.980 0.000 0.000
1.990 4.908 -0.787
1.990 1.061 5.815
ATOMIC_POSITIONS crystal
H 0.825 0.187 0.163
H 0.175 0.813 0.837
Pd 0.644 0.215 0.497
Pd 0.356 0.785 0.503
Pd 0.692 0.779 0.838
Pd 0.023 0.788 0.166
Pd 0.308 0.221 0.162
Pd 0.977 0.212 0.834
Si 0.000 0.500 0.500

---

! Cu2W PBE relaxed; values from VASP
! N(E_F) (states/eV/f.u.): 2.97
! SG: No. 63
! Energy relative to the elements (eV per formula unit): 1.3
&SYSTEM
  ibrav = 0, nat = 6, ntyp = 2
/
ATOMIC_SPECIES
Cu 63.55 Cu.upf
W 183.84 W.upf
CELL_PARAMETERS angstrom
1.305 -6.902 0.000
1.305 6.902 0.000
0.000 0.000 4.490
ATOMIC_POSITIONS crystal
Cu 0.775 0.225 0.750
Cu 0.436 0.564 0.750
Cu 0.564 0.436 0.250
Cu 0.225 0.775 0.250
W 0.896 0.104 0.250
W 0.104 0.896 0.750

---

! ThMgCd4 PBE relaxed; values from VASP
! N(E_F) (states/eV/f.u.): 3.64
! Relative energy among the computed polymorphs (meV/atom): 0
! SG: No. 191
! Energy relative to the elements (eV per formula unit): -0.9
&SYSTEM
  ibrav = 0, nat = 6, ntyp = 3
/
ATOMIC_SPECIES
Mg 24.30 Mg.upf
Cd 112.41 Cd.upf
Th 232.04 Th.upf
CELL_PARAMETERS angstrom
-3.671 3.298 0.106
1.001 -2.709 4.004
4.450 4.884 2.192
ATOMIC_POSITIONS crystal
Mg 0.000 0.000 0.000
Cd 0.667 0.333 0.758
Cd 0.333 0.667 0.242
Cd 0.333 0.667 0.758
Cd 0.667 0.333 0.242
Th 0.000 0.000 0.500

---

! SrW2Cl PBE relaxed; values from VASP
! N(E_F) (states/eV/f.u.): 5.25
! Relative energy among the computed polymorphs (meV/atom): 451
! SG: No. 122
! Raw formation energy (kcal/mol of atoms): 13.1
&SYSTEM
  ibrav = 0, nat = 8, ntyp = 3
/
ATOMIC_SPECIES
W 183.84 W.upf
Cl 35.45 Cl.upf
Sr 87.62 Sr.upf
CELL_PARAMETERS angstrom
-1.920 3.074 1.141
0.894 -0.781 3.609
10.759 8.623 1.200
ATOMIC_POSITIONS crystal
W 0.375 0.903 0.750
W 0.875 0.347 0.750
W 0.653 0.625 0.250
W 0.097 0.125 0.250
Cl 0.250 0.750 0.500
Cl 0.500 0.500 0.000
Sr 0.750 0.250 0.500
Sr 0.000 0.000 0.000

---

! KVAg3 PBE relaxed; values from VASP
! N(E_F) (states/eV/f.u.): 7.07
! Relative energy among the computed polymorphs (meV/atom): 0
! SG: No. 221
! Energy relative to the elements (eV per formula unit): 3.6
&SYSTEM
  ibrav = 0, nat = 5, ntyp = 3
/
ATOMIC_SPECIES
V 50.94 V.upf
Ag 107.87 Ag.upf
K 39.10 K.upf
CELL_PARAMETERS angstrom
-3.449 -3.844 0.889
-0.040 -1.147 -5.113
3.945 -3.372 0.725
ATOMIC_POSITIONS crystal
V 0.000 0.000 0.000
Ag 0.000 0.000 0.500
Ag 0.500 0.000 0.000
Ag 0.000 0.500 0.000
K 0.500 0.500 0.500

---

! ScAsPO2 PBE relaxed; values from VASP
! N(E_F) (states/eV/f.u.): 0.98
! Relative energy among the computed polymorphs (meV/atom): 0
! SG: No. 123
! Raw formation energy (kcal/mol of atoms): -19.7
&SYSTEM
  ibrav = 0, nat = 5, ntyp = 4
/
ATOMIC_SPECIES
As 74.92 As.upf
O 16.00 O.upf
Sc 44.96 Sc.upf
P 30.97 P.upf
CELL_PARAMETERS angstrom
3.855 0.000 0.000
0.000 3.855 0.000
0.000 0.000 4.821
ATOMIC_POSITIONS crystal
As 0.000 0.000 0.000
O 0.500 0.000 0.000
O 0.000 0.500 0.000
Sc 0.500 0.500 0.500
P 0.000 0.000 0.500

---

! RbMnCrAs2 PBE relaxed; values from VASP
! N(E_F) (states/eV/f.u.): 7.34
! SG: No. 123
! Energy relative to the elements (eV per formula unit): 12.3
&SYSTEM
  ibrav = 0, nat = 5, ntyp = 4
/
ATOMIC_SPECIES
Rb 85.47 Rb.upf
Cr 52.00 Cr.upf
Mn 54.94 Mn.upf
As 74.92 As.upf
CELL_PARAMETERS angstrom
-5.490 0.445 0.342
0.186 -1.158 4.495
0.515 5.326 1.351
ATOMIC_POSITIONS crystal
Rb 0.000 0.000 0.000
Cr 0.500 0.500 0.500
Mn 0.000 0.500 0.000
As 0.000 0.000 0.500
As 0.500 0.000 0.000

---

! ZrAg2W PBE relaxed; values from VASP
! N(E_F) (states/eV/f.u.): 4.84
! SG: No. 122
! Energy relative to the elements (eV per formula unit): 3.1
&SYSTEM
  ibrav = 0, nat = 8, ntyp = 3
/
ATOMIC_SPECIES
Ag 107.87 Ag.upf
W 183.84 W.upf
Zr 91.22 Zr.upf
CELL_PARAMETERS angstrom
3.881 0.000 0.000
0.000 3.881 0.000
1.941 1.941 10.475
ATOMIC_POSITIONS crystal
Ag 0.875 0.883 0.750
Ag 0.633 0.125 0.250
Ag 0.117 0.625 0.250
Ag 0.375 0.367 0.750
W 0.000 0.000 0.000
W 0.750 0.250 0.500
Zr 0.500 0.500 0.000
Zr 0.250 0.750 0.500

---

! Mg2ScTcRu PBE relaxed; values from VASP
! N(E_F) (states/eV/f.u.): 3.42
! SG: No. 123
! Energy relative to the elements (eV per formula unit): 7.4
&SYSTEM
  ibrav = 0, nat = 5, ntyp = 4
/
ATOMIC_SPECIES
Sc 44.96 Sc.upf
Ru 101.07 Ru.upf
Mg 24.30 Mg.upf
Tc 98.00 Tc.upf
CELL_PARAMETERS angstrom
-1.706 -3.419 -3.428
2.198 -3.153 2.051
-4.090 -0.926 2.960
ATOMIC_POSITIONS crystal
Sc 0.000 0.000 0.000
Ru 0.000 0.500 0.000
Mg 0.500 0.000 0.000
Mg 0.000 0.000 0.500
Tc 0.500 0.500 0.500

---

! LiY2Mn2 PBE relaxed; values from VASP
! N(E_F) (states/eV/f.u.): 3.71
! Relative energy among the computed polymorphs (meV/atom): 135
! SG: No. 127
! Energy relative to the elements (eV per formula unit): 1.8
&SYSTEM
  ibrav = 0, nat = 10, ntyp = 3
/
ATOMIC_SPECIES
Y 88.91 Y.upf
Mn 54.94 Mn.upf
Li 6.94 Li.upf
CELL_PARAMETERS angstrom
8.356 0.000 0.000
0.000 8.356 0.000
0.000 0.000 3.325
ATOMIC_POSITIONS crystal
Y 0.672 0.172 0.000
Y 0.328 0.828 0.000
Y 0.172 0.328 0.000
Y 0.828 0.672 0.000
Mn 0.885 0.385 0.500
Mn 0.385 0.115 0.500
Mn 0.615 0.885 0.500
Mn 0.115 0.615 0.500
Li 0.500 0.500 0.000
Li 0.000 0.000 0.000

---

! LaMoI2N PBE relaxed; values from VASP
! N(E_F) (states/eV/f.u.): 4.28
! Relative energy among the computed polymorphs (meV/atom): 623
! SG: No. 123
! Raw formation energy (kcal/mol of atoms): 10.5
&SYSTEM
  ibrav = 0, nat = 5, ntyp = 4
/
ATOMIC_SPECIES
N 14.01 N.upf
La 138.91 La.upf
I 126.90 I.upf
Mo 95.94 Mo.upf
CELL_PARAMETERS angstrom
-0.124 -3.839 5.192
1.260 -5.108 -3.746
4.080 0.606 0.545
ATOMIC_POSITIONS crystal
N 0.000 0.000 0.500
La 0.000 0.000 0.000
I 0.000 0.500 0.000
I 0.500 0.000 0.000
Mo 0.500 0.500 0.500

---

! RbPu2VCl8 PBE relaxed; values from VASP
! N(E_F) (states/eV/f.u.): 29.35
! SG: No. 2
! Raw formation energy (kcal/mol of atoms): -38.6
&SYSTEM
  ibrav = 0, nat = 12, ntyp = 4
/
ATOMIC_SPECIES
Cl 35.45 Cl.upf
Pu 244.00 Pu.upf
V 50.94 V.upf
Rb 85.47 Rb.upf
CELL_PARAMETERS angstrom
6.513 0.064 -0.002
0.123 6.374 -0.004
-0.003 -0.004 8.660
ATOMIC_POSITIONS crystal
Cl 0.684 0.748 0.000
Cl 0.316 0.252 0.000
Cl 0.165 0.771 0.198
Cl 0.611 0.729 0.500
Cl 0.164 0.771 0.802
Cl 0.389 0.271 0.500
Cl 0.836 0.229 0.198
Cl 0.835 0.229 0.802
Pu 0.500 0.500 0.237
Pu 0.500 0.500 0.763
V 0.000 0.000 0.000
Rb 0.000 0.000 0.500

---

! MgGeAu5 PBE relaxed; values from VASP
! N(E_F) (states/eV/f.u.): 3.14
! SG: No. 123
! Energy relative to the elements (eV per formula unit): -1.1
&SYSTEM
  ibrav = 0, nat = 7, ntyp = 3
/
ATOMIC_SPECIES
Au 196.97 Au.upf
Mg 24.30 Mg.upf
Ge 72.64 Ge.upf
CELL_PARAMETERS angstrom
-2.245 0.009 3.746
0.208 -4.360 0.135
5.957 0.394 3.569
ATOMIC_POSITIONS crystal
Au 0.000 0.500 0.724
Au 0.500 0.000 0.276
Au 0.000 0.500 0.276
Au 0.500 0.500 0.000
Au 0.500 0.000 0.724
Mg 0.000 0.000 0.000
Ge 0.000 0.000 0.500

---

! LaNdEr2As4 PBE relaxed; values from VASP
! N(E_F) (states/eV/f.u.): 0.90
! SG: No. 10
! Energy relative to the elements (eV per formula unit): -12.2
&SYSTEM
  ibrav = 0, nat = 8, ntyp = 4
/
ATOMIC_SPECIES
La 138.91 La.upf
As 74.92 As.upf
Nd 144.24 Nd.upf
Er 167.26 Er.upf
CELL_PARAMETERS angstrom
-3.748 -1.735 -0.809
2.185 -1.571 -6.757
3.075 -6.604 -0.085
ATOMIC_POSITIONS crystal
La 0.000 0.500 0.500
As 0.000 0.763 0.748
As 0.500 0.764 0.243
As 0.500 0.236 0.757
As 0.000 0.237 0.252
Nd 0.500 0.500 0.000
Er 0.000 0.000 0.000
Er 0.500 0.000 0.500

---

! Li2HoPd PBE relaxed; values from VASP
! N(E_F) (states/eV/f.u.): 3.01
! SG: No. 166
! Energy relative to the elements (eV per formula unit): 0.2
&SYSTEM
  ibrav = 0, nat = 4, ntyp = 3
/
ATOMIC_SPECIES
Li 6.94 Li.upf
Pd 106.42 Pd.upf
Ho 164.93 Ho.upf
CELL_PARAMETERS angstrom
3.075 0.000 0.000
1.537 2.663 0.000
1.537 0.888 10.094
ATOMIC_POSITIONS crystal
Li 0.103 0.103 0.691
Li 0.897 0.897 0.309
Pd 0.500 0.500 0.500
Ho 0.000 0.000 0.000

---

! NdZn9Cd2 PBE relaxed; values from VASP
! N(E_F) (states/eV/f.u.): 4.29
! Relative energy among the computed polymorphs (meV/atom): 0
! SG: No. 166
! Energy relative to the elements (eV per formula unit): -1.5
&SYSTEM
  ibrav = 0, nat = 12, ntyp = 3
/
ATOMIC_SPECIES
Zn 65.41 Zn.upf
Cd 112.41 Cd.upf
Nd 144.24 Nd.upf
CELL_PARAMETERS angstrom
5.147 0.000 1.532
2.346 4.582 1.532
0.134 0.082 8.963
ATOMIC_POSITIONS crystal
Zn 0.500 0.500 0.500
Zn 0.587 0.587 0.745
Zn 0.667 0.667 0.998
Zn 0.333 0.333 0.002
Zn 0.919 0.413 0.255
Zn 0.081 0.587 0.745
Zn 0.413 0.413 0.255
Zn 0.413 0.919 0.255
Zn 0.587 0.081 0.745
Cd 0.139 0.139 0.584
Cd 0.861 0.861 0.416
Nd 0.000 0.000 0.000

---

! BaAcCdAu PBE relaxed; values from VASP
! N(E_F) (states/eV/f.u.): 3.25
! SG: No. 216
! Energy relative to the elements (eV per formula unit): -1.8
&SYSTEM
  ibrav = 0, nat = 4, ntyp = 4
/
ATOMIC_SPECIES
Ba 137.33 Ba.upf
Cd 112.41 Cd.upf
Au 196.97 Au.upf
Ac 227.00 Ac.upf
CELL_PARAMETERS angstrom
5.729 0.000 0.000
2.864 4.961 0.000
2.864 1.654 4.677
ATOMIC_POSITIONS crystal
Ba 0.000 0.000 0.000
Cd 0.250 0.250 0.250
Au 0.750 0.750 0.750
Ac 0.500 0.500 0.500

---

! Ti5Al4In PBE relaxed; values from VASP
! N(E_F) (states/eV/f.u.): 10.11
! Relative energy among the computed polymorphs (meV/atom): 468
! SG: No. 79
! Energy relative to the elements (eV per formula unit): 1.2
&SYSTEM
  ibrav = 0, nat = 10, ntyp = 3
/
ATOMIC_SPECIES
Ti 47.87 Ti.upf
Al 26.98 Al.upf
In 114.82 In.upf
CELL_PARAMETERS angstrom
-2.474 -0.684 4.916
-5.379 -3.469 -0.061
1.846 -5.137 3.342
ATOMIC_POSITIONS crystal
Ti 0.878 0.405 0.733
Ti 0.284 0.733 0.595
Ti 0.708 0.000 0.000
Ti 0.612 0.267 0.405
Ti 0.017 0.595 0.267
Al 0.713 0.859 0.633
Al 0.572 0.633 0.141
Al 0.205 0.141 0.367
Al 0.346 0.367 0.859
In 0.176 0.000 0.000

---

! KBaTa3 PBE relaxed; values from VASP
! N(E_F) (states/eV/f.u.): 5.97
! Relative energy among the computed polymorphs (meV/atom): 0
! SG: No. 221
! Energy relative to the elements (eV per formula unit): 14.4
&SYSTEM
  ibrav = 0, nat = 5, ntyp = 3
/
ATOMIC_SPECIES
Ta 180.95 Ta.upf
K 39.10 K.upf
Ba 137.33 Ba.upf
CELL_PARAMETERS angstrom
-0.365 0.384 5.237
5.127 -1.111 0.438
1.137 5.131 -0.297
ATOMIC_POSITIONS crystal
Ta 0.000 0.000 0.500
Ta 0.500 0.000 0.000
Ta 0.000 0.500 0.000
K 0.500 0.500 0.500
Ba 0.000 0.000 0.000

---

! Re2AgIr PBE relaxed; values from VASP
! N(E_F) (states/eV/f.u.): 3.26
! Relative energy among the computed polymorphs (meV/atom): 164
! SG: No. 8
! Energy relative to the elements (eV per formula unit): 1.4
&SYSTEM
  ibrav = 0, nat = 4, ntyp = 3
/
ATOMIC_SPECIES
Ag 107.87 Ag.upf
Re 186.21 Re.upf
Ir 192.22 Ir.upf
CELL_PARAMETERS angstrom
4.856 -0.002 -0.003
4.093 2.613 -0.003
0.776 0.227 4.842
ATOMIC_POSITIONS crystal
Ag 0.502 0.502 0.496
Re 0.742 0.742 0.769
Re 0.993 0.993 0.996
Ir 0.263 0.263 0.239